Record 1
# PBE Y5Te5S2, relaxed
# Raw formation energy   -36.32 kcal/mol of atoms
data_Y5Te5S2
_chemical_formula_sum 'Y5 Te5 S2'
_cell_length_a 4.186
_cell_length_b 7.323
_cell_length_c 12.478
_cell_angle_alpha 105.17
_cell_angle_beta 90.00
_cell_angle_gamma 106.61
_space_group_name_H-M_alt 'P 1'
_space_group_IT_number 1
loop_
_space_group_symop_operation_xyz
'x,y,z'
loop_
_atom_site_label
_atom_site_type_symbol
_atom_site_fract_x
_atom_site_fract_y
_atom_site_fract_z
Y1 Y 0.675 0.351 0.802
Y2 Y 0.325 0.649 0.198
Y3 Y 0.895 0.789 0.601
Y4 Y 0.105 0.211 0.399
Y5 Y 0.000 0.000 0.000
Te1 Te 0.752 0.504 0.356
Te2 Te 0.335 0.670 0.946
Te3 Te 0.500 0.000 0.500
Te4 Te 0.665 0.330 0.054
Te5 Te 0.248 0.496 0.644
S1 S 0.040 0.080 0.794
S2 S 0.960 0.920 0.206

***

Record 2
# PBE Y2TeS2, relaxed
# Raw formation energy   -36.65 kcal/mol of atoms
data_Y2TeS2
_chemical_formula_sum 'Y2 Te1 S2'
_cell_length_a 4.481
_cell_length_b 4.481
_cell_length_c 7.548
_cell_angle_alpha 72.73
_cell_angle_beta 72.73
_cell_angle_gamma 90.00
_space_group_name_H-M_alt 'P 1'
_space_group_IT_number 1
loop_
_space_group_symop_operation_xyz
'x,y,z'
loop_
_atom_site_label
_atom_site_type_symbol
_atom_site_fract_x
_atom_site_fract_y
_atom_site_fract_z
S1 S 0.250 0.750 0.500
S2 S 0.750 0.250 0.500
Y1 Y 0.645 0.645 0.710
Y2 Y 0.355 0.355 0.290
Te1 Te 0.000 0.000 0.000

***

Record 3
# PBE Y2TeS, relaxed
# E above lowest polymorph   25.5 meV per atom
# Raw formation energy   -38.62 kcal/mol of atoms
data_Y2TeS
_chemical_formula_sum 'Y2 Te1 S1'
_cell_length_a 4.098
_cell_length_b 4.098
_cell_length_c 7.331
_cell_angle_alpha 73.77
_cell_angle_beta 73.77
_cell_angle_gamma 60.00
_space_group_name_H-M_alt 'P 1'
_space_group_IT_number 1
loop_
_space_group_symop_operation_xyz
'x,y,z'
loop_
_atom_site_label
_atom_site_type_symbol
_atom_site_fract_x
_atom_site_fract_y
_atom_site_fract_z
S1 S 0.000 0.000 0.000
Y1 Y 0.734 0.734 0.798
Y2 Y 0.266 0.266 0.202
Te1 Te 0.500 0.500 0.500

***

Record 4
# PBE YTe2S, relaxed
# Raw formation energy   -11.54 kcal/mol of atoms
data_YTe2S
_chemical_formula_sum 'Y1 Te2 S1'
_cell_length_a 9.007
_cell_length_b 9.007
_cell_length_c 9.007
_cell_angle_alpha 28.17
_cell_angle_beta 28.17
_cell_angle_gamma 28.17
_space_group_name_H-M_alt 'P 1'
_space_group_IT_number 1
loop_
_space_group_symop_operation_xyz
'x,y,z'
loop_
_atom_site_label
_atom_site_type_symbol
_atom_site_fract_x
_atom_site_fract_y
_atom_site_fract_z
Y1 Y 0.500 0.500 0.500
Te1 Te 0.099 0.099 0.099
Te2 Te 0.901 0.901 0.901
S1 S 0.000 0.000 0.000

***

Record 5
# PBE Y4ZnTe2S, relaxed
# Raw formation energy   -28.64 kcal/mol of atoms
data_Y4ZnTe2S
_chemical_formula_sum 'Y4 Zn1 Te2 S1'
_cell_length_a 4.082
_cell_length_b 7.304
_cell_length_c 7.443
_cell_angle_alpha 107.99
_cell_angle_beta 90.00
_cell_angle_gamma 90.00
_space_group_name_H-M_alt 'P 1'
_space_group_IT_number 1
loop_
_space_group_symop_operation_xyz
'x,y,z'
loop_
_atom_site_label
_atom_site_type_symbol
_atom_site_fract_x
_atom_site_fract_y
_atom_site_fract_z
Y1 Y 0.000 0.259 0.775
Y2 Y 0.500 0.764 0.785
Y3 Y 0.000 0.741 0.225
Y4 Y 0.500 0.236 0.215
Te1 Te 0.000 0.500 0.500
Te2 Te 0.500 0.000 0.500
S1 S 0.000 0.000 0.000
Zn1 Zn 0.500 0.500 0.000

***

Record 6
# PBE Y6ZnTe3S2, relaxed
# Raw formation energy   -32.24 kcal/mol of atoms
data_Y6ZnTe3S2
_chemical_formula_sum 'Y6 Zn1 Te3 S2'
_cell_length_a 7.154
_cell_length_b 7.154
_cell_length_c 7.425
_cell_angle_alpha 99.21
_cell_angle_beta 99.21
_cell_angle_gamma 119.85
_space_group_name_H-M_alt 'P 1'
_space_group_IT_number 1
loop_
_space_group_symop_operation_xyz
'x,y,z'
loop_
_atom_site_label
_atom_site_type_symbol
_atom_site_fract_x
_atom_site_fract_y
_atom_site_fract_z
S1 S 0.666 0.334 0.000
S2 S 0.334 0.666 0.000
Y1 Y 0.263 0.263 0.786
Y2 Y 0.406 0.071 0.216
Y3 Y 0.594 0.929 0.784
Y4 Y 0.929 0.594 0.784
Y5 Y 0.071 0.406 0.216
Y6 Y 0.737 0.737 0.214
Te1 Te 0.500 0.500 0.500
Te2 Te 0.833 0.167 0.500
Te3 Te 0.167 0.833 0.500
Zn1 Zn 0.000 0.000 0.000

***

Record 7
# PBE Y8ZnTe4S3, relaxed
# Raw formation energy   -33.66 kcal/mol of atoms
data_Y8ZnTe4S3
_chemical_formula_sum 'Y8 Zn1 Te4 S3'
_cell_length_a 8.239
_cell_length_b 8.481
_cell_length_c 8.239
_cell_angle_alpha 119.06
_cell_angle_beta 120.00
_cell_angle_gamma 90.00
_space_group_name_H-M_alt 'P 1'
_space_group_IT_number 1
loop_
_space_group_symop_operation_xyz
'x,y,z'
loop_
_atom_site_label
_atom_site_type_symbol
_atom_site_fract_x
_atom_site_fract_y
_atom_site_fract_z
Y1 Y 0.735 0.705 0.470
Y2 Y 0.761 0.286 0.522
Y3 Y 0.761 0.286 0.025
Y4 Y 0.736 0.714 0.975
Y5 Y 0.239 0.714 0.478
Y6 Y 0.265 0.295 0.530
Y7 Y 0.264 0.286 0.025
Y8 Y 0.239 0.714 0.975
Te1 Te 0.000 0.000 0.000
Te2 Te 0.000 0.000 0.500
Te3 Te 0.500 0.000 0.500
Te4 Te 0.500 0.000 0.000
S1 S 0.500 0.500 0.000
S2 S 0.000 0.500 0.500
S3 S 0.500 0.500 0.500
Zn1 Zn 0.000 0.500 0.000

***

Record 8
# PBE ZnTe2S, relaxed
# E above lowest polymorph   247.0 meV per atom
# Raw formation energy   9.43 kcal/mol of atoms
data_ZnTe2S
_chemical_formula_sum 'Zn1 Te2 S1'
_cell_length_a 4.992
_cell_length_b 4.992
_cell_length_c 4.992
_cell_angle_alpha 60.00
_cell_angle_beta 60.00
_cell_angle_gamma 60.00
_space_group_name_H-M_alt 'P 1'
_space_group_IT_number 1
loop_
_space_group_symop_operation_xyz
'x,y,z'
loop_
_atom_site_label
_atom_site_type_symbol
_atom_site_fract_x
_atom_site_fract_y
_atom_site_fract_z
Te1 Te 0.750 0.750 0.750
Te2 Te 0.250 0.250 0.250
S1 S 0.000 0.000 0.000
Zn1 Zn 0.500 0.500 0.500

***

no.,E (eV/atom)
1,-6.27
2,-6.45
3,-6.72
4,-4.72
5,-5.93
6,-6.21
7,-6.33
8,-2.51